This record from Alexandria describes an optimized crystal structure of TiPd3Ru. The functional is PBE.

Cell lengths 4.566, 4.566, 4.566 Å; angles 90.00, 90.00, 90.00 degrees
Each line ends with the local moment (μB).
Sites, in units of the cell vectors:
Ru1 0.500 0.500 0.500  2.08
Pd1 0.000 0.500 0.000  -0.02
Pd2 0.000 0.000 0.500  -0.04
Pd3 0.500 0.000 0.000  0.07
Ti1 0.000 0.000 0.000  -0.13

Results
The calculation puts the volume at 95.2 Å³/cell. For the density, the calculation gives 8.2 Mg/m³. The value obtained for the formation energy from the elements is 0.91 eV/atom. The calculation puts the electronic total energy at -5.64 eV per atom.